TbSi3IrRh | GGA-PBE | optimized geometry

The space group is Cmcm (No. 63) and the conventional cell measures 6.269, 13.334 and 5.576 Å, with angles of 90.00, 90.00 and 90.00 degrees. The asymmetric unit holds Tb at (0.000, 0.192, 0.250), Si at (0.000, 0.223, 0.750), Si at (0.209, 0.500, 0.000), Ir at (0.000, 0.391, 0.750) and Rh at (0.000, 0.055, 0.750).

The size of the total moment comes out at 0.00 μB per cell. The energy comes out at -0.2498 Ha/atom. For the raw formation energy, the calculation gives -3.7 eV per formula unit.

=====

Pu2GeRh | GGA-PBE | optimized geometry

The space group is P4/mmm (No. 123) and the conventional cell measures 3.580, 3.580 and 5.073 Å, with angles of 90.00, 90.00 and 90.00 degrees. The asymmetric unit holds Pu at (0.000, 0.500, 0.000), Ge at (0.000, 0.000, 0.500) and Rh at (0.500, 0.500, 0.500).

The size of the total moment comes out at 1.57 μB per cell. The energy comes out at -0.3762 Ha/atom. Its formation energy is -0.078 eV/atom.

=====

K2MnTl3Br6 | GGA-PBE | optimized geometry

The space group is C2/m (No. 12) and the conventional cell measures 7.721, 13.370 and 8.500 Å, with angles of 90.00, 107.41 and 90.00 degrees. The asymmetric unit holds K at (0.000, 0.163, 0.000), Mn at (0.000, 0.500, 0.000), Tl at (0.000, 0.000, 0.500), Tl at (0.000, 0.316, 0.500), Br at (0.206, 0.360, 0.198) and Br at (0.209, 0.500, 0.780).

The size of the total moment comes out at 8.14 μB per cell. The energy comes out at -0.1228 Ha/atom. For the raw formation energy, the calculation gives -11.6 eV per formula unit.